Entry 1:
{"formula": "ZrNbSi2Sb", "functional": "GGA-PBE", "state": "relaxed", "sg": "P4/mmm", "e_tot_ev_per_atom": -5.31, "cell": [[5.000, 0.000, 0.000], [0.000, 5.071, 0.000], [0.000, 0.000, 5.000]], "species": ["Sb", "Nb", "Si", "Si", "Zr"], "frac_coords": [[0.000, 0.000, 0.000], [0.000, 0.500, 0.000], [0.000, 0.000, 0.500], [0.500, 0.000, 0.000], [0.500, 0.500, 0.500]]}

---

Entry 2:
{"formula": "Li2MgRh", "functional": "GGA-PBE", "state": "relaxed", "delta_e_f_ev_per_atom": -0.23, "sg": "C2/m", "e_tot_ev_per_atom": -3.42, "cell": [[5.207, -0.022, 0.023], [4.231, 3.034, 0.023], [1.746, 0.557, 3.902]], "species": ["Mg", "Rh", "Li", "Li"], "frac_coords": [[0.750, 0.750, 0.750], [0.250, 0.250, 0.250], [0.982, 0.982, 0.019], [0.518, 0.518, 0.481]]}

---

Entry 3:
{"formula": "Cu3Se2", "functional": "GGA-PBE", "state": "relaxed", "sg": "C2/c", "e_tot_ev_per_atom": -3.91, "cell": [[6.300, 0.000, 0.000], [3.150, 5.271, -0.168], [3.150, 1.305, 5.098]], "species": ["Cu", "Cu", "Cu", "Cu", "Cu", "Cu", "Se", "Se", "Se", "Se"], "frac_coords": [[0.229, 0.486, 0.788], [0.503, 0.014, 0.712], [0.012, 0.250, 0.750], [0.988, 0.750, 0.250], [0.497, 0.986, 0.288], [0.771, 0.514, 0.212], [0.866, 0.905, 0.847], [0.618, 0.595, 0.653], [0.382, 0.405, 0.347], [0.134, 0.095, 0.153]]}

---

Entry 4:
{"formula": "HfIn2Hg", "functional": "GGA-PBE", "state": "relaxed", "delta_e_f_ev_per_atom": 0.28, "sg": "R-3m", "e_tot_ev_per_atom": -3.65, "cell": [[-2.230, -1.573, -1.825], [0.964, -2.229, -2.209], [-1.117, -9.097, 6.254]], "species": ["Hf", "Hg", "In", "In"], "frac_coords": [[0.000, 0.000, 0.000], [0.500, 0.500, 0.500], [0.089, 0.089, 0.732], [0.911, 0.911, 0.268]]}

---

Entry 5:
{"formula": "CeHo2Tm3S6", "functional": "GGA-PBE", "state": "relaxed", "sg": "C2/m", "e_tot_ev_per_atom": -6.41, "cell": [[3.869, 0.000, 0.000], [0.000, 7.810, 0.269], [-1.935, -2.262, 8.170]], "species": ["Ce", "Ho", "Ho", "Tm", "Tm", "Tm", "S", "S", "S", "S", "S", "S"], "frac_coords": [[0.500, 0.000, 0.000], [0.835, 0.671, 0.671], [0.165, 0.329, 0.329], [0.500, 0.500, 0.000], [0.836, 0.165, 0.671], [0.164, 0.835, 0.329], [0.328, 0.917, 0.656], [0.667, 0.586, 0.334], [0.672, 0.083, 0.344], [0.999, 0.262, 0.999], [0.001, 0.738, 0.001], [0.333, 0.414, 0.666]]}

---

Entry 6:
{"formula": "Ba8ZnAu4", "functional": "GGA-PBE", "state": "relaxed", "delta_e_f_ev_per_atom": -0.45, "sg": "Cm", "e_tot_ev_per_atom": -2.74, "cell": [[-0.484, -4.736, 0.136], [5.324, -3.221, -9.805], [8.940, -3.166, 4.937]], "species": ["Ba", "Ba", "Ba", "Ba", "Ba", "Ba", "Ba", "Ba", "Zn", "Au", "Au", "Au", "Au"], "frac_coords": [[0.188, 0.376, 0.248], [0.549, 0.292, 0.610], [0.474, 0.667, 0.386], [0.834, 0.583, 0.748], [0.911, 0.225, 0.954], [0.183, 0.943, 0.692], [0.112, 0.734, 0.043], [0.840, 0.016, 0.304], [0.510, 0.980, 0.000], [0.323, 0.437, 0.917], [0.831, 0.805, 0.532], [0.191, 0.154, 0.464], [0.699, 0.522, 0.080]]}

---

| no. | total moment (μB per atom) |
| --- | --- |
| 1 | 0.00 |
| 2 | 0.00 |
| 3 | 0.00 |
| 4 | 0.00 |
| 5 | 0.07 |
| 6 | 0.00 |